Compound: CeEr2MoO8
Source: the Alexandria database
Functional: GGA+U
Structure: relaxed

Cell and atoms, written as POSCAR:
```
CeEr2MoO8
1.0
4.990 -0.066 -0.003
-0.046 4.989 -0.005
0.004 0.008 6.830
Ce Er Mo O
1 2 1 8
Direct
0.000 0.000 0.500
0.500 0.500 0.757
0.500 0.500 0.243
0.000 0.000 0.000
0.184 0.816 0.214
0.721 0.722 0.000
0.816 0.184 0.214
0.816 0.184 0.786
0.279 0.278 0.000
0.184 0.816 0.786
0.695 0.695 0.500
0.305 0.305 0.500
```

Values from the calculation:
- N(E_F) (states/eV per atom) = 0.0000
- crystal system = orthorhombic
- electronic total energy (eV/atom) = -8.030